# GGA-PBEsol Li3As, optimized geometry
data_Li3As
_chemical_formula_sum 'Li6 As2'
_cell_length_a 4.327
_cell_length_b 4.327
_cell_length_c 7.724
_cell_angle_alpha 90.00
_cell_angle_beta 90.00
_cell_angle_gamma 120.00
_space_group_name_H-M_alt 'P 1'
_space_group_IT_number 1
_space_group_name_Hall 'P 1'
loop_
_atom_site_label
_atom_site_type_symbol
_atom_site_fract_x
_atom_site_fract_y
_atom_site_fract_z
Li1 Li 0.000 0.000 0.250
Li2 Li 0.000 0.000 0.750
Li3 Li 0.333 0.667 0.085
Li4 Li 0.333 0.667 0.415
Li5 Li 0.667 0.333 0.585
Li6 Li 0.667 0.333 0.915
As1 As 0.333 0.667 0.750
As2 As 0.667 0.333 0.250
# DFT formation energy ... -0.714 eV/atom
# Energy ... -3.47 eV/atom
# Space group ... No. 194



# GGA-PBEsol TiZnSn2O, optimized geometry
data_TiZnSn2O
_chemical_formula_sum 'Ti1 Zn1 Sn2 O1'
_cell_length_a 5.437
_cell_length_b 5.437
_cell_length_c 3.417
_cell_angle_alpha 90.00
_cell_angle_beta 90.00
_cell_angle_gamma 90.00
_space_group_name_H-M_alt 'P 1'
_space_group_IT_number 1
_space_group_name_Hall 'P 1'
loop_
_atom_site_label
_atom_site_type_symbol
_atom_site_fract_x
_atom_site_fract_y
_atom_site_fract_z
Ti1 Ti 0.000 0.000 0.000
Zn1 Zn 0.500 0.500 0.500
Sn1 Sn 0.000 0.500 0.500
Sn2 Sn 0.500 0.000 0.500
O1 O 0.500 0.500 0.000
# Formation energy (no corrections) ... 0.11 eV/atom
# Energy ... -4.63 eV/atom
# Space group ... No. 123



# GGA-PBEsol LiFePt2, optimized geometry
data_LiFePt2
_chemical_formula_sum 'Li1 Fe1 Pt2'
_cell_length_a 2.690
_cell_length_b 2.690
_cell_length_c 7.650
_cell_angle_alpha 90.00
_cell_angle_beta 90.00
_cell_angle_gamma 90.00
_space_group_name_H-M_alt 'P 1'
_space_group_IT_number 1
_space_group_name_Hall 'P 1'
loop_
_atom_site_label
_atom_site_type_symbol
_atom_site_fract_x
_atom_site_fract_y
_atom_site_fract_z
Li1 Li 0.000 0.000 0.000
Fe1 Fe 0.500 0.500 0.734
Pt1 Pt 0.000 0.000 0.504
Pt2 Pt 0.500 0.500 0.230
# DFT formation energy ... -0.043 eV/atom
# Energy ... -6.26 eV/atom
# Space group ... No. 99



# GGA-PBEsol HfCd3Ge, optimized geometry
data_HfCd3Ge
_chemical_formula_sum 'Hf1 Cd3 Ge1'
_cell_length_a 4.963
_cell_length_b 4.963
_cell_length_c 4.963
_cell_angle_alpha 90.00
_cell_angle_beta 90.00
_cell_angle_gamma 90.00
_space_group_name_H-M_alt 'P 1'
_space_group_IT_number 1
_space_group_name_Hall 'P 1'
loop_
_atom_site_label
_atom_site_type_symbol
_atom_site_fract_x
_atom_site_fract_y
_atom_site_fract_z
Hf1 Hf 0.000 0.000 0.000
Cd1 Cd 0.000 0.500 0.500
Cd2 Cd 0.500 0.000 0.500
Cd3 Cd 0.500 0.500 0.000
Ge1 Ge 0.500 0.500 0.500
# DFT formation energy ... 0.832 eV/atom
# Energy ... -2.97 eV/atom
# Space group ... No. 221



# GGA-PBEsol YRe2As, optimized geometry
data_YRe2As
_chemical_formula_sum 'Y1 Re2 As1'
_cell_length_a 5.660
_cell_length_b 5.660
_cell_length_c 5.660
_cell_angle_alpha 43.50
_cell_angle_beta 43.50
_cell_angle_gamma 43.50
_space_group_name_H-M_alt 'P 1'
_space_group_IT_number 1
_space_group_name_Hall 'P 1'
loop_
_atom_site_label
_atom_site_type_symbol
_atom_site_fract_x
_atom_site_fract_y
_atom_site_fract_z
Y1 Y 0.000 0.000 0.000
Re1 Re 0.491 0.491 0.491
Re2 Re 0.797 0.797 0.797
As1 As 0.223 0.223 0.223
# DFT formation energy ... -0.189 eV/atom
# Energy ... -9.84 eV/atom
# Space group ... No. 160



# GGA-PBEsol Ru3WI, optimized geometry
data_Ru3WI
_chemical_formula_sum 'Ru3 W1 I1'
_cell_length_a 4.648
_cell_length_b 4.648
_cell_length_c 4.648
_cell_angle_alpha 90.00
_cell_angle_beta 90.00
_cell_angle_gamma 90.00
_space_group_name_H-M_alt 'P 1'
_space_group_IT_number 1
_space_group_name_Hall 'P 1'
loop_
_atom_site_label
_atom_site_type_symbol
_atom_site_fract_x
_atom_site_fract_y
_atom_site_fract_z
Ru1 Ru 0.000 0.000 0.500
Ru2 Ru 0.000 0.500 0.000
Ru3 Ru 0.500 0.000 0.000
W1 W 0.500 0.500 0.500
I1 I 0.000 0.000 0.000
# Formation energy (no corrections) ... 2.51 eV/atom
# Energy ... -6.71 eV/atom
# Space group ... No. 221



# GGA-PBEsol ScICl3, optimized geometry
data_ScICl3
_chemical_formula_sum 'Sc1 I1 Cl3'
_cell_length_a 5.539
_cell_length_b 5.539
_cell_length_c 5.539
_cell_angle_alpha 90.00
_cell_angle_beta 90.00
_cell_angle_gamma 90.00
_space_group_name_H-M_alt 'P 1'
_space_group_IT_number 1
_space_group_name_Hall 'P 1'
loop_
_atom_site_label
_atom_site_type_symbol
_atom_site_fract_x
_atom_site_fract_y
_atom_site_fract_z
Sc1 Sc 0.000 0.000 0.000
I1 I 0.500 0.500 0.500
Cl1 Cl 0.000 0.500 0.500
Cl2 Cl 0.500 0.000 0.500
Cl3 Cl 0.500 0.500 0.000
# Energy above the lowest structure with this stoichiometry ... 1.482 eV/atom
# Formation energy (no corrections) ... 0.20 eV/atom
# Energy ... -2.68 eV/atom
# Space group ... No. 221



# GGA-PBEsol Er2B6Os, optimized geometry
data_Er2B6Os
_chemical_formula_sum 'Er8 B24 Os4'
_cell_length_a 9.043
_cell_length_b 11.400
_cell_length_c 3.591
_cell_angle_alpha 90.00
_cell_angle_beta 90.00
_cell_angle_gamma 90.00
_space_group_name_H-M_alt 'P 1'
_space_group_IT_number 1
_space_group_name_Hall 'P 1'
loop_
_atom_site_label
_atom_site_type_symbol
_atom_site_fract_x
_atom_site_fract_y
_atom_site_fract_z
Er1 Er 0.056 0.127 0.000
Er2 Er 0.179 0.414 0.000
Er3 Er 0.321 0.914 0.000
Er4 Er 0.444 0.627 0.000
Er5 Er 0.556 0.373 0.000
Er6 Er 0.679 0.086 0.000
Er7 Er 0.821 0.586 0.000
Er8 Er 0.944 0.873 0.000
B1 B 0.018 0.287 0.500
B2 B 0.053 0.566 0.500
B3 B 0.107 0.970 0.500
B4 B 0.131 0.815 0.500
B5 B 0.209 0.234 0.500
B6 B 0.248 0.580 0.500
B7 B 0.252 0.080 0.500
B8 B 0.291 0.734 0.500
B9 B 0.369 0.315 0.500
B10 B 0.393 0.470 0.500
B11 B 0.447 0.066 0.500
B12 B 0.482 0.787 0.500
B13 B 0.518 0.213 0.500
B14 B 0.553 0.934 0.500
B15 B 0.607 0.530 0.500
B16 B 0.631 0.685 0.500
B17 B 0.709 0.266 0.500
B18 B 0.748 0.920 0.500
B19 B 0.752 0.420 0.500
B20 B 0.791 0.766 0.500
B21 B 0.869 0.185 0.500
B22 B 0.893 0.030 0.500
B23 B 0.947 0.434 0.500
B24 B 0.982 0.713 0.500
Os1 Os 0.137 0.679 0.000
Os2 Os 0.363 0.179 0.000
Os3 Os 0.637 0.821 0.000
Os4 Os 0.863 0.321 0.000
# DFT formation energy ... -0.759 eV/atom
# Energy ... -7.89 eV/atom
# Space group ... No. 55



# GGA-PBEsol RbBa2HgCl, optimized geometry
data_RbBa2HgCl
_chemical_formula_sum 'Rb1 Ba2 Hg1 Cl1'
_cell_length_a 6.873
_cell_length_b 6.873
_cell_length_c 5.516
_cell_angle_alpha 90.00
_cell_angle_beta 90.00
_cell_angle_gamma 90.00
_space_group_name_H-M_alt 'P 1'
_space_group_IT_number 1
_space_group_name_Hall 'P 1'
loop_
_atom_site_label
_atom_site_type_symbol
_atom_site_fract_x
_atom_site_fract_y
_atom_site_fract_z
Rb1 Rb 0.000 0.000 0.000
Ba1 Ba 0.000 0.500 0.000
Ba2 Ba 0.500 0.000 0.000
Hg1 Hg 0.500 0.500 0.500
Cl1 Cl 0.000 0.000 0.500
# Formation energy (no corrections) ... -0.04 eV/atom
# Energy ... -1.62 eV/atom
# Space group ... No. 123



# GGA-PBEsol YTl2P, optimized geometry
data_YTl2P
_chemical_formula_sum 'Y1 Tl2 P1'
_cell_length_a 3.826
_cell_length_b 3.813
_cell_length_c 7.122
_cell_angle_alpha 90.00
_cell_angle_beta 93.90
_cell_angle_gamma 90.00
_space_group_name_H-M_alt 'P 1'
_space_group_IT_number 1
_space_group_name_Hall 'P 1'
loop_
_atom_site_label
_atom_site_type_symbol
_atom_site_fract_x
_atom_site_fract_y
_atom_site_fract_z
Y1 Y 0.000 0.000 0.000
Tl1 Tl 0.434 0.500 0.681
Tl2 Tl 0.878 0.000 0.433
P1 P 0.509 0.500 0.071
# Energy above the lowest structure with this stoichiometry ... 0.000 eV/atom
# DFT formation energy ... -0.532 eV/atom
# Energy ... -5.00 eV/atom
# Space group ... No. 6



# GGA-PBEsol TcGeB2, optimized geometry
data_TcGeB2
_chemical_formula_sum 'Tc2 Ge2 B4'
_cell_length_a 5.669
_cell_length_b 5.669
_cell_length_c 5.669
_cell_angle_alpha 128.74
_cell_angle_beta 128.74
_cell_angle_gamma 75.43
_space_group_name_H-M_alt 'P 1'
_space_group_IT_number 1
_space_group_name_Hall 'P 1'
loop_
_atom_site_label
_atom_site_type_symbol
_atom_site_fract_x
_atom_site_fract_y
_atom_site_fract_z
Tc1 Tc 0.000 0.000 0.000
Tc2 Tc 0.750 0.250 0.500
Ge1 Ge 0.250 0.750 0.500
Ge2 Ge 0.500 0.500 0.000
B1 B 0.111 0.625 0.986
B2 B 0.375 0.361 0.486
B3 B 0.639 0.125 0.014
B4 B 0.875 0.889 0.514
# DFT formation energy ... 0.703 eV/atom
# Energy ... -6.86 eV/atom
# Space group ... No. 122



# GGA-PBEsol Y3BiC, optimized geometry
data_Y3BiC
_chemical_formula_sum 'Y6 Bi2 C2'
_cell_length_a 7.961
_cell_length_b 7.961
_cell_length_c 4.817
_cell_angle_alpha 90.00
_cell_angle_beta 90.00
_cell_angle_gamma 129.77
_space_group_name_H-M_alt 'P 1'
_space_group_IT_number 1
_space_group_name_Hall 'P 1'
loop_
_atom_site_label
_atom_site_type_symbol
_atom_site_fract_x
_atom_site_fract_y
_atom_site_fract_z
Y1 Y 0.000 0.500 0.500
Y2 Y 0.130 0.870 0.000
Y3 Y 0.240 0.240 0.500
Y4 Y 0.500 0.000 0.500
Y5 Y 0.760 0.760 0.500
Y6 Y 0.870 0.130 0.000
Bi1 Bi 0.365 0.635 0.000
Bi2 Bi 0.635 0.365 0.000
C1 C 0.127 0.873 0.500
C2 C 0.873 0.127 0.500
# Energy above the lowest structure with this stoichiometry ... 0.000 eV/atom
# DFT formation energy ... -0.639 eV/atom
# Energy ... -7.52 eV/atom
# Space group ... No. 65